Er5S6 | PBE-GGA | relaxed

Geometry as POSCAR:
```
Er5S6
1.0
-2.719 -3.329 5.101
1.633 -3.250 -5.592
6.083 1.065 2.483
Er S
5 6
Direct
0.666 0.334 0.000 Er
0.500 0.500 0.500 Er
0.163 0.837 0.500 Er
0.837 0.163 0.500 Er
0.334 0.666 0.000 Er
0.916 0.583 0.749 S
0.084 0.417 0.251 S
0.583 0.916 0.749 S
0.417 0.084 0.251 S
0.250 0.250 0.754 S
0.750 0.750 0.246 S
```

Calculated values
The crystal system is monoclinic. For the total DFT energy (no corrections), the calculation gives -70.22 eV for the cell shown. Its mass density is 7.05 g/cm3. As for the space-group type: C2/m (12). The calculation puts the volume at 242.2 Å³/cell. Its total moment is 0.000 μB/atom.

---

Er8S | PBE-GGA | relaxed

Geometry as POSCAR:
```
Er8S
1.0
-8.420 -2.846 -0.706
5.749 -1.386 -6.672
0.967 -3.235 1.505
Er S
8 1
Direct
0.000 0.245 0.500 Er
0.602 0.000 0.000 Er
0.245 0.000 0.500 Er
0.667 0.333 0.500 Er
0.000 0.602 0.000 Er
0.755 0.755 0.500 Er
0.333 0.667 0.500 Er
0.398 0.398 0.000 Er
0.000 0.000 0.000 S
```

Calculated values
The crystal system is hexagonal. For the total DFT energy (no corrections), the calculation gives -44.00 eV for the cell shown. Its mass density is 8.94 g/cm3. As for the space-group type: P-62m (189). The calculation puts the volume at 254.5 Å³/cell. Its total moment is 0.000 μB/atom.

---

Er2S3 | PBE-GGA | relaxed

Geometry as POSCAR:
```
Er2S3
1.0
0.187 -12.261 3.991
4.972 -8.684 7.169
-5.091 -1.145 4.307
S Er
12 8
Direct
0.812 0.348 0.676 S
0.514 0.986 0.986 S
0.986 0.514 0.514 S
0.348 0.812 0.164 S
0.574 0.086 0.438 S
0.676 0.164 0.812 S
0.902 0.438 0.086 S
0.264 0.736 0.736 S
0.438 0.902 0.574 S
0.086 0.574 0.902 S
0.736 0.264 0.264 S
0.164 0.676 0.348 S
0.835 0.835 0.665 Er
0.496 0.496 0.004 Er
0.004 0.004 0.496 Er
0.585 0.585 0.415 Er
0.246 0.246 0.754 Er
0.415 0.415 0.585 Er
0.754 0.754 0.246 Er
0.665 0.665 0.835 Er
```

Calculated values
The crystal system is orthorhombic. For the total DFT energy (no corrections), the calculation gives -127.68 eV for the cell shown. Its mass density is 5.66 g/cm3. As for the space-group type: Fddd (70). The calculation puts the volume at 505.4 Å³/cell. Its total moment is 0.000 μB/atom.

---

Er2S3 | PBE-GGA | relaxed

Geometry as POSCAR:
```
Er2S3
1.0
-4.534 10.918 -12.917
-0.244 -3.080 -2.518
-9.239 -2.129 3.499
Er S
12 18
Direct
0.979 0.750 0.811 Er
0.279 0.750 0.813 Er
0.601 0.750 0.513 Er
0.399 0.250 0.487 Er
0.115 0.250 0.549 Er
0.885 0.750 0.451 Er
0.430 0.250 0.124 Er
0.781 0.250 0.829 Er
0.570 0.750 0.876 Er
0.219 0.750 0.171 Er
0.721 0.250 0.187 Er
0.021 0.250 0.189 Er
0.873 0.250 0.268 S
0.369 0.750 0.290 S
0.718 0.750 0.362 S
0.468 0.750 0.633 S
0.732 0.750 0.993 S
0.076 0.750 0.049 S
0.127 0.750 0.732 S
0.532 0.250 0.367 S
0.631 0.250 0.710 S
0.967 0.250 0.615 S
0.817 0.750 0.680 S
0.183 0.250 0.320 S
0.033 0.750 0.385 S
0.268 0.250 0.007 S
0.282 0.250 0.638 S
0.575 0.250 0.052 S
0.425 0.750 0.948 S
0.924 0.250 0.951 S
```

Calculated values
The crystal system is monoclinic. For the total DFT energy (no corrections), the calculation gives -191.19 eV for the cell shown. Its mass density is 6.15 g/cm3. As for the space-group type: P2_1/m (11). The calculation puts the volume at 697.3 Å³/cell. Its total moment is 0.000 μB/atom.

---

ErS | PBE-GGA | relaxed

Geometry as POSCAR:
```
ErS
1.0
10.913 0.000 0.000
0.000 3.827 0.000
0.000 0.000 3.895
S Er
4 4
Direct
0.875 0.250 0.752 S
0.625 0.750 0.252 S
0.375 0.250 0.748 S
0.125 0.750 0.248 S
0.875 0.750 0.252 Er
0.125 0.250 0.748 Er
0.375 0.750 0.248 Er
0.625 0.250 0.752 Er
```

Calculated values
The crystal system is orthorhombic. For the total DFT energy (no corrections), the calculation gives -50.39 eV for the cell shown. Its mass density is 8.14 g/cm3. As for the space-group type: Pnma (62). The calculation puts the volume at 162.7 Å³/cell. Its total moment is 0.000 μB/atom.

---

ErS | PBE-GGA | relaxed

Geometry as POSCAR:
```
ErS
1.0
3.860 0.000 0.000
-1.930 3.342 0.000
0.000 0.000 9.461
Er S
3 3
Direct
0.667 0.333 0.833 Er
0.333 0.667 0.167 Er
0.000 0.000 0.500 Er
0.000 0.000 0.000 S
0.667 0.333 0.334 S
0.333 0.667 0.666 S
```

Calculated values
The crystal system is trigonal. For the total DFT energy (no corrections), the calculation gives -37.80 eV for the cell shown. Its mass density is 8.14 g/cm3. As for the space-group type: P-3m1 (164). The calculation puts the volume at 122.1 Å³/cell. Its total moment is 0.002 μB/atom.

---

Er2S3 | PBE-GGA | relaxed

Geometry as POSCAR:
```
Er2S3
1.0
-5.993 5.272 5.256
-4.941 2.429 7.812
-2.608 5.594 7.296
S Er
3 2
Direct
0.000 0.000 0.000 S
0.225 0.225 0.225 S
0.775 0.775 0.775 S
0.397 0.397 0.397 Er
0.603 0.603 0.603 Er
```

Calculated values
The crystal system is trigonal. For the total DFT energy (no corrections), the calculation gives -31.52 eV for the cell shown. Its mass density is 5.66 g/cm3. As for the space-group type: R-3m (166). The calculation puts the volume at 126.4 Å³/cell. Its total moment is 0.001 μB/atom.

---

Er2S3 | PBE-GGA | relaxed

Geometry as POSCAR:
```
Er2S3
1.0
10.546 0.000 0.000
0.000 3.828 0.000
0.000 0.000 10.378
S Er
12 8
Direct
0.228 0.250 0.196 S
0.728 0.250 0.304 S
0.381 0.250 0.945 S
0.455 0.750 0.374 S
0.881 0.250 0.555 S
0.272 0.750 0.696 S
0.119 0.750 0.445 S
0.045 0.250 0.874 S
0.545 0.250 0.626 S
0.955 0.750 0.126 S
0.619 0.750 0.055 S
0.772 0.750 0.804 S
0.510 0.750 0.813 Er
0.308 0.250 0.504 Er
0.990 0.250 0.313 Er
0.490 0.250 0.187 Er
0.192 0.750 0.004 Er
0.010 0.750 0.687 Er
0.808 0.250 0.996 Er
0.692 0.750 0.496 Er
```

Calculated values
The crystal system is orthorhombic. For the total DFT energy (no corrections), the calculation gives -127.22 eV for the cell shown. Its mass density is 6.83 g/cm3. As for the space-group type: Pnma (62). The calculation puts the volume at 418.9 Å³/cell. Its total moment is 0.000 μB/atom.

---

Er3SbS2 | PBE-GGA | relaxed

Geometry as POSCAR:
```
Er3SbS2
1.0
4.027 0.000 0.000
-2.014 3.488 0.000
0.000 0.000 9.848
S Er Sb
2 3 1
Direct
0.667 0.333 0.346 S
0.333 0.667 0.654 S
0.667 0.333 0.806 Er
0.333 0.667 0.194 Er
0.000 0.000 0.500 Er
0.000 0.000 0.000 Sb
```

Calculated values
The crystal system is trigonal. For the total DFT energy (no corrections), the calculation gives -35.83 eV for the cell shown. Its mass density is 8.26 g/cm3. As for the space-group type: P-3m1 (164). The calculation puts the volume at 138.3 Å³/cell. Its total moment is 0.001 μB/atom.

---

Er2ScS3 | PBE-GGA | relaxed

Geometry as POSCAR:
```
Er2ScS3
1.0
3.804 0.000 0.000
-1.902 3.294 0.000
0.000 0.000 9.310
S Er Sc
3 2 1
Direct
0.000 0.000 0.000 S
0.667 0.333 0.344 S
0.333 0.667 0.656 S
0.333 0.667 0.172 Er
0.667 0.333 0.828 Er
0.000 0.000 0.500 Sc
```

Calculated values
The crystal system is trigonal. For the total DFT energy (no corrections), the calculation gives -39.37 eV for the cell shown. Its mass density is 6.77 g/cm3. As for the space-group type: P-3m1 (164). The calculation puts the volume at 116.7 Å³/cell. Its total moment is 0.000 μB/atom.

---

ErScS3 | PBE-GGA | relaxed

Geometry as POSCAR:
```
ErScS3
1.0
6.976 0.000 0.000
0.000 6.340 0.000
0.000 0.000 9.502
S Er Sc
12 4 4
Direct
0.814 0.174 0.185 S
0.950 0.648 0.010 S
0.186 0.826 0.685 S
0.686 0.674 0.685 S
0.314 0.326 0.185 S
0.318 0.324 0.831 S
0.450 0.852 0.010 S
0.550 0.148 0.510 S
0.682 0.676 0.331 S
0.050 0.352 0.510 S
0.818 0.176 0.831 S
0.182 0.824 0.331 S
0.398 0.542 0.509 Er
0.602 0.458 0.009 Er
0.898 0.958 0.509 Er
0.102 0.042 0.009 Er
0.003 0.502 0.760 Sc
0.503 0.998 0.760 Sc
0.997 0.498 0.260 Sc
0.497 0.002 0.260 Sc
```

Calculated values
The crystal system is orthorhombic. For the total DFT energy (no corrections), the calculation gives -132.66 eV for the cell shown. Its mass density is 4.87 g/cm3. As for the space-group type: Pna2_1 (33). The calculation puts the volume at 420.3 Å³/cell. Its total moment is 0.000 μB/atom.

---

ErSc2S3 | PBE-GGA | relaxed

Geometry as POSCAR:
```
ErSc2S3
1.0
-1.083 0.109 -3.583
-2.342 -1.284 2.625
-3.258 8.487 1.243
S Sc Er
3 2 1
Direct
0.000 0.000 0.500 S
0.667 0.333 0.822 S
0.333 0.667 0.178 S
0.333 0.667 0.661 Sc
0.667 0.333 0.339 Sc
0.000 0.000 0.000 Er
```

Calculated values
The crystal system is trigonal. For the total DFT energy (no corrections), the calculation gives -40.97 eV for the cell shown. Its mass density is 5.27 g/cm3. As for the space-group type: P-3m1 (164). The calculation puts the volume at 111.4 Å³/cell. Its total moment is 0.001 μB/atom.

---

Er3Se2S | PBE-GGA | relaxed

Geometry as POSCAR:
```
Er3Se2S
1.0
3.971 0.000 0.000
-1.986 3.439 0.000
0.000 0.000 9.783
Se S Er
2 1 3
Direct
0.667 0.333 0.827 Se
0.333 0.667 0.173 Se
0.000 0.000 0.500 S
0.333 0.667 0.651 Er
0.667 0.333 0.349 Er
0.000 0.000 0.000 Er
```

Calculated values
The crystal system is trigonal. For the total DFT energy (no corrections), the calculation gives -35.45 eV for the cell shown. Its mass density is 8.60 g/cm3. As for the space-group type: P-3m1 (164). The calculation puts the volume at 133.6 Å³/cell. Its total moment is 0.001 μB/atom.

---

Sm2ErS3 | PBE-GGA | relaxed

Geometry as POSCAR:
```
Sm2ErS3
1.0
3.944 0.000 0.000
-1.972 3.415 0.000
0.000 0.000 9.749
Sm S Er
2 3 1
Direct
0.667 0.333 0.831 Sm
0.333 0.667 0.169 Sm
0.333 0.667 0.656 S
0.000 0.000 0.000 S
0.667 0.333 0.344 S
0.000 0.000 0.500 Er
```

Calculated values
The crystal system is trigonal. For the total DFT energy (no corrections), the calculation gives -38.40 eV for the cell shown. Its mass density is 7.13 g/cm3. As for the space-group type: P-3m1 (164). The calculation puts the volume at 131.3 Å³/cell. Its total moment is 0.000 μB/atom.

---

SmErS2 | PBE-GGA | relaxed

Geometry as POSCAR:
```
SmErS2
1.0
3.385 -1.961 0.000
3.385 1.961 0.000
-2.269 0.000 6.475
S Sm Er
2 1 1
Direct
0.745 0.745 0.736 S
0.255 0.255 0.264 S
0.500 0.500 0.000 Sm
0.000 0.000 0.500 Er
```

Calculated values
The crystal system is monoclinic. For the total DFT energy (no corrections), the calculation gives -25.51 eV for the cell shown. Its mass density is 7.37 g/cm3. As for the space-group type: C2/m (12). The calculation puts the volume at 86.0 Å³/cell. Its total moment is 0.002 μB/atom.

---

SmEr2S3 | PBE-GGA | relaxed

Geometry as POSCAR:
```
SmEr2S3
1.0
-0.590 -1.455 -3.565
-0.881 -2.127 3.142
-8.911 3.661 -0.019
Er S Sm
2 3 1
Direct
0.333 0.667 0.664 Er
0.667 0.333 0.336 Er
0.000 0.000 0.500 S
0.667 0.333 0.822 S
0.333 0.667 0.178 S
0.000 0.000 0.000 Sm
```

Calculated values
The crystal system is trigonal. For the total DFT energy (no corrections), the calculation gives -38.11 eV for the cell shown. Its mass density is 7.62 g/cm3. As for the space-group type: P-3m1 (164). The calculation puts the volume at 126.6 Å³/cell. Its total moment is 0.001 μB/atom.

---

Sr3ErS | PBE-GGA | relaxed

Geometry as POSCAR:
```
Sr3ErS
1.0
5.866 0.000 0.000
0.000 5.866 0.000
0.000 0.000 5.866
Sr S Er
3 1 1
Direct
0.500 0.000 0.500 Sr
0.500 0.500 0.000 Sr
0.000 0.500 0.500 Sr
0.500 0.500 0.500 S
0.000 0.000 0.000 Er
```

Calculated values
The crystal system is cubic. For the total DFT energy (no corrections), the calculation gives -16.30 eV for the cell shown. Its mass density is 3.80 g/cm3. As for the space-group type: Pm-3m (221). The calculation puts the volume at 201.9 Å³/cell. Its total moment is 0.019 μB/atom.

---

TbErS2 | PBE-GGA | relaxed

Geometry as POSCAR:
```
TbErS2
1.0
3.364 -1.950 0.000
3.364 1.950 0.000
-2.259 0.000 6.347
Tb S Er
1 2 1
Direct
0.500 0.500 0.000 Tb
0.748 0.748 0.744 S
0.252 0.252 0.256 S
0.000 0.000 0.500 Er
```

Calculated values
The crystal system is monoclinic. The calculation puts the polymorph energy (0 for the lowest one) at 0.0 kJ/mol of atoms. For the total DFT energy (no corrections), the calculation gives -25.38 eV for the cell shown. Its mass density is 7.78 g/cm3. As for the space-group type: C2/m (12). The calculation puts the volume at 83.3 Å³/cell. Its total moment is 0.001 μB/atom.

---

Tb2ErS3 | PBE-GGA | relaxed

Geometry as POSCAR:
```
Tb2ErS3
1.0
-3.885 0.103 -0.274
2.093 -1.886 -2.691
-0.576 -8.026 5.176
Er Tb S
1 2 3
Direct
0.000 0.000 0.500 Er
0.333 0.667 0.167 Tb
0.667 0.333 0.833 Tb
0.333 0.667 0.662 S
0.667 0.333 0.338 S
0.000 0.000 0.000 S
```

Calculated values
The crystal system is trigonal. For the total DFT energy (no corrections), the calculation gives -38.16 eV for the cell shown. Its mass density is 7.67 g/cm3. As for the space-group type: P-3m1 (164). The calculation puts the volume at 125.8 Å³/cell. Its total moment is 0.001 μB/atom.

---

TbEr2S3 | PBE-GGA | relaxed

Geometry as POSCAR:
```
TbEr2S3
1.0
-3.572 1.467 -0.338
0.483 -3.768 0.773
-0.101 1.900 9.319
S Tb Er
3 1 2
Direct
0.667 0.333 0.829 S
0.000 0.000 0.500 S
0.333 0.667 0.171 S
0.000 0.000 0.000 Tb
0.333 0.667 0.666 Er
0.667 0.333 0.334 Er
```

Calculated values
The crystal system is trigonal. For the total DFT energy (no corrections), the calculation gives -37.98 eV for the cell shown. Its mass density is 7.91 g/cm3. As for the space-group type: P-3m1 (164). The calculation puts the volume at 123.8 Å³/cell. Its total moment is 0.002 μB/atom.

---

TbErS2 | PBE-GGA | relaxed

Geometry as POSCAR:
```
TbErS2
1.0
3.890 0.000 0.000
0.000 3.890 0.000
0.000 0.000 5.504
S Tb Er
2 1 1
Direct
0.500 0.500 0.000 S
0.000 0.000 0.500 S
0.500 0.500 0.500 Tb
0.000 0.000 0.000 Er
```

Calculated values
The crystal system is tetragonal. The calculation puts the polymorph energy (0 for the lowest one) at 0.4 kJ/mol of atoms. For the total DFT energy (no corrections), the calculation gives -25.36 eV for the cell shown. Its mass density is 7.78 g/cm3. As for the space-group type: P4/mmm (123). The calculation puts the volume at 83.3 Å³/cell. Its total moment is 0.000 μB/atom.

---

Er3ThS6 | PBE-GGA | relaxed

Geometry as POSCAR:
```
Er3ThS6
1.0
-3.623 -4.742 -9.211
1.979 -3.255 0.898
-7.361 -2.203 8.236
S Er Th
12 6 2
Direct
0.239 0.250 0.772 S
0.582 0.750 0.406 S
0.418 0.250 0.594 S
0.895 0.250 0.561 S
0.980 0.250 0.114 S
0.020 0.750 0.886 S
0.382 0.750 0.034 S
0.105 0.750 0.439 S
0.761 0.750 0.228 S
0.618 0.250 0.966 S
0.693 0.750 0.751 S
0.307 0.250 0.249 S
0.935 0.250 0.334 Er
0.339 0.750 0.417 Er
0.661 0.250 0.583 Er
0.065 0.750 0.666 Er
0.179 0.250 0.001 Er
0.821 0.750 0.999 Er
0.452 0.750 0.804 Th
0.548 0.250 0.196 Th
```

Calculated values
The crystal system is monoclinic. For the total DFT energy (no corrections), the calculation gives -132.86 eV for the cell shown. Its mass density is 6.70 g/cm3. As for the space-group type: P2_1/m (11). The calculation puts the volume at 459.4 Å³/cell. Its total moment is 0.001 μB/atom.

---

ErTlS | PBE-GGA | relaxed

Geometry as POSCAR:
```
ErTlS
1.0
5.135 0.000 0.000
0.000 5.135 0.000
0.000 0.000 6.207
S Er Tl
2 2 2
Direct
0.000 0.500 0.109 S
0.500 0.000 0.891 S
0.000 0.000 0.000 Er
0.500 0.500 0.000 Er
0.500 0.000 0.423 Tl
0.000 0.500 0.577 Tl
```

Calculated values
The crystal system is tetragonal. For the total DFT energy (no corrections), the calculation gives -27.71 eV for the cell shown. Its mass density is 8.19 g/cm3. As for the space-group type: P4/nmm (129). The calculation puts the volume at 163.7 Å³/cell. Its total moment is 0.000 μB/atom.